Entry 1:
Ni2RhO2 after structural relaxation, computed with GGA+U.

Unit cell a=3.879 b=3.879 c=8.050 alpha=90.00 beta=90.00 gamma=90.00
Space group I4/mmm (No. 139)
Asymmetric unit:
Ni  0.000  0.000  0.177 (multiplicity 4)
Rh  0.000  0.000  0.500 (multiplicity 2)
O  0.000  0.500  0.250 (multiplicity 4)

Results
Offset from the most stable computed form   0.0000 eV/atom
Calculated volume   121.1 Å³ per cell
Magnetic moment   5.1 μB/f.u.
DOS at the Fermi energy   7.27 states/eV per cell


Entry 2:
NiRh2O2 after structural relaxation, computed with GGA+U.

Unit cell a=6.821 b=6.821 c=2.705 alpha=90.00 beta=90.00 gamma=90.00
Space group P4/mbm (No. 127)
Asymmetric unit:
Ni  0.000  0.000  0.000 (multiplicity 2)
Rh  0.200  0.300  0.000 (multiplicity 4)
O  0.147  0.647  0.500 (multiplicity 4)

Results
Offset from the most stable computed form   0.1545 eV/atom
Calculated volume   125.9 Å³ per cell
Magnetic moment   1.1 μB/f.u.
DOS at the Fermi energy   10.64 states/eV per cell


Entry 3:
Ni2Rh3O8 after structural relaxation, computed with GGA+U.

Unit cell a=9.518 b=5.966 c=5.259 alpha=90.00 beta=98.77 gamma=90.00
Space group C2/m (No. 12)
Asymmetric unit:
Ni  0.210  0.000  0.062 (multiplicity 4)
Rh  0.000  0.240  0.500 (multiplicity 4)
Rh  0.000  0.500  0.000 (multiplicity 2)
O  0.100  0.500  0.364 (multiplicity 4)
O  0.116  0.000  0.375 (multiplicity 4)
O  0.123  0.266  0.853 (multiplicity 8)

Results
Calculated volume   295.2 Å³ per cell
Total DFT energy (no corrections)   -5.896 eV per atom
Magnetic moment   2.0 μB/f.u.
DOS at the Fermi energy   15.59 states/eV per cell


Entry 4:
Ni2RhO2 after structural relaxation, computed with GGA+U.

Unit cell a=6.485 b=6.485 c=2.717 alpha=90.00 beta=90.00 gamma=90.00
Space group P4/mbm (No. 127)
Asymmetric unit:
Ni  0.157  0.343  0.000 (multiplicity 4)
Rh  0.000  0.000  0.000 (multiplicity 2)
O  0.173  0.673  0.500 (multiplicity 4)

Results
Offset from the most stable computed form   0.2047 eV/atom
Calculated volume   114.3 Å³ per cell
Magnetic moment   5.0 μB/f.u.
DOS at the Fermi energy   3.88 states/eV per cell


Entry 5:
Ni2RhO3 after structural relaxation, computed with GGA+U.

Unit cell a=9.605 b=4.327 c=3.043 alpha=90.00 beta=107.95 gamma=90.00
Space group C2/m (No. 12)
Asymmetric unit:
Ni  0.166  0.000  0.165 (multiplicity 4)
Rh  0.000  0.500  0.500 (multiplicity 2)
O  0.000  0.000  0.500 (multiplicity 2)
O  0.177  0.500  0.182 (multiplicity 4)

Results
Calculated volume   120.3 Å³ per cell
Total DFT energy (no corrections)   -5.177 eV per atom
Magnetic moment   3.4 μB/f.u.
DOS at the Fermi energy   2.52 states/eV per cell


Entry 6:
NiRuRhO6 after structural relaxation, computed with GGA+U.

Unit cell a=5.0419 b=5.0419 c=8.8234 alpha=90.00 beta=90.00 gamma=120.00
Space group P-31c (No. 163)
Asymmetric unit:
Ni  0.0000  0.0000  0.0000 (multiplicity 2)
Ru  0.3333  0.6667  0.2500 (multiplicity 2)
Rh  0.3333  0.6667  0.7500 (multiplicity 2)
O  0.0075  0.3526  0.1265 (multiplicity 12)

Results
Calculated volume   194.2 Å³ per cell
Total DFT energy (no corrections)   -6.186 eV per atom
Magnetic moment   0.9 μB/f.u.
DOS at the Fermi energy   10.91 states/eV per cell


Entry 7:
Ni2RuRhO6 after structural relaxation, computed with GGA+U.

Unit cell a=5.766 b=5.766 c=3.789 alpha=90.00 beta=90.00 gamma=90.00
Space group P4mm (No. 99)
Asymmetric unit:
Ni  0.000  0.500  0.000 (multiplicity 2)
Ru  0.000  0.000  0.818 (multiplicity 1)
Rh  0.500  0.500  0.834 (multiplicity 1)
O  0.000  0.000  0.337 (multiplicity 1)
O  0.249  0.249  0.913 (multiplicity 4)
O  0.500  0.500  0.343 (multiplicity 1)

Results
Calculated volume   126.0 Å³ per cell
Total DFT energy (no corrections)   -5.631 eV per atom
Magnetic moment   4.9 μB/f.u.
DOS at the Fermi energy   3.16 states/eV per cell


Entry 8:
Ni2SbRhO6 after structural relaxation, computed with GGA+U.

Unit cell a=5.2048 b=5.2048 c=13.9680 alpha=90.00 beta=90.00 gamma=120.00
Space group R3 (No. 146, hexagonal axes)
Asymmetric unit:
Ni  0.0000  0.0000  0.0000 (multiplicity 3)
Ni  0.0000  0.0000  0.4989 (multiplicity 3)
Sb  0.0000  0.0000  0.2966 (multiplicity 3)
Rh  0.0000  0.0000  0.7993 (multiplicity 3)
O  0.0071  0.3093  0.8964 (multiplicity 9)
O  0.0066  0.7036  0.3940 (multiplicity 9)

Results
Calculated volume   327.7 Å³ per cell
Total DFT energy (no corrections)   -5.720 eV per atom
Magnetic moment   3.9 μB/f.u.


Entry 9:
NiSbRh2O6 after structural relaxation, computed with GGA+U.

Unit cell a=5.3180 b=5.3180 c=14.1060 alpha=90.00 beta=90.00 gamma=120.00
Space group R3 (No. 146, hexagonal axes)
Asymmetric unit:
Ni  0.0000  0.0000  0.0000 (multiplicity 3)
Sb  0.0000  0.0000  0.5003 (multiplicity 3)
Rh  0.0000  0.0000  0.2978 (multiplicity 3)
Rh  0.0000  0.0000  0.7975 (multiplicity 3)
O  0.0013  0.7033  0.3960 (multiplicity 9)
O  0.0102  0.3029  0.8943 (multiplicity 9)

Results
Calculated volume   345.5 Å³ per cell
Total DFT energy (no corrections)   -6.011 eV per atom
Magnetic moment   1.8 μB/f.u.
DOS at the Fermi energy   12.05 states/eV per cell


Entry 10:
NiRhSe2O8 after structural relaxation, computed with GGA+U.

Unit cell a=5.6392 b=5.6392 c=5.8670 alpha=90.00 beta=90.00 gamma=120.00
Space group P-3m1 (No. 164)
Asymmetric unit:
Ni  0.0000  0.0000  0.0000 (multiplicity 1)
Rh  0.0000  0.0000  0.5000 (multiplicity 1)
Se  0.3333  0.6667  0.2027 (multiplicity 2)
O  0.1510  0.3021  0.2598 (multiplicity 6)
O  0.3333  0.6667  0.9258 (multiplicity 2)

Results
Calculated volume   161.6 Å³ per cell
Total DFT energy (no corrections)   -5.197 eV per atom
Magnetic moment   1.5 μB/f.u.
DOS at the Fermi energy   2.65 states/eV per cell


Entry 11:
SiNi2RhO6 after structural relaxation, computed with GGA+U.

Unit cell a=5.437 b=5.437 c=3.849 alpha=90.00 beta=90.00 gamma=90.00
Space group P4mm (No. 99)
Asymmetric unit:
Si  0.000  0.000  0.000 (multiplicity 1)
Ni  0.000  0.500  0.261 (multiplicity 2)
Rh  0.500  0.500  0.030 (multiplicity 1)
O  0.000  0.000  0.576 (multiplicity 1)
O  0.232  0.232  0.105 (multiplicity 4)
O  0.500  0.500  0.539 (multiplicity 1)

Results
Calculated volume   113.8 Å³ per cell
Total DFT energy (no corrections)   -5.698 eV per atom
Magnetic moment   5.0 μB/f.u.
DOS at the Fermi energy   2.00 states/eV per cell


Entry 12:
SrNi2Rh2O7 after structural relaxation, computed with GGA+U.

Unit cell a=4.053 b=16.943 c=4.047 alpha=90.00 beta=90.00 gamma=90.00
Space group Imm2 (No. 44)
Asymmetric unit:
Sr  0.000  0.000  0.000 (multiplicity 2)
Ni  0.000  0.248  0.480 (multiplicity 4)
Rh  0.000  0.386  0.999 (multiplicity 4)
O  0.000  0.119  0.462 (multiplicity 4)
O  0.000  0.265  0.980 (multiplicity 4)
O  0.000  0.371  0.491 (multiplicity 4)
O  0.000  0.500  0.117 (multiplicity 2)

Results
Calculated volume   277.9 Å³ per cell
Total DFT energy (no corrections)   -5.770 eV per atom
Magnetic moment   5.4 μB/f.u.
DOS at the Fermi energy   14.15 states/eV per cell


Entry 13:
SrNi2RhO after structural relaxation, computed with GGA+U.

Unit cell a=4.055 b=4.055 c=4.805 alpha=90.00 beta=90.00 gamma=90.00
Space group P4/mmm (No. 123)
Asymmetric unit:
Sr  0.000  0.000  0.000 (multiplicity 1)
Ni  0.000  0.500  0.500 (multiplicity 2)
Rh  0.500  0.500  0.000 (multiplicity 1)
O  0.000  0.000  0.500 (multiplicity 1)

Results
Calculated volume   79.0 Å³ per cell
Total DFT energy (no corrections)   -3.902 eV per atom
Magnetic moment   1.9 μB/f.u.
DOS at the Fermi energy   3.34 states/eV per cell


Entry 14:
SrNiRhO3 after structural relaxation, computed with GGA+U.

Unit cell a=5.700 b=12.081 c=5.268 alpha=90.00 beta=90.00 gamma=90.00
Space group Cmcm (No. 63)
Asymmetric unit:
Sr  0.000  0.245  0.250 (multiplicity 4)
Ni  0.000  0.066  0.750 (multiplicity 4)
Rh  0.000  0.492  0.750 (multiplicity 4)
O  0.000  0.226  0.750 (multiplicity 4)
O  0.233  0.000  0.000 (multiplicity 8)

Results
Calculated volume   362.7 Å³ per cell
Total DFT energy (no corrections)   -5.579 eV per atom
Magnetic moment   1.6 μB/f.u.
DOS at the Fermi energy   7.42 states/eV per cell


Entry 15:
SrNiRhO6 after structural relaxation, computed with GGA+U.

Unit cell a=5.0635 b=5.0635 c=5.4332 alpha=90.00 beta=90.00 gamma=120.00
Space group P312 (No. 149)
Asymmetric unit:
Sr  0.0000  0.0000  0.0000 (multiplicity 1)
Ni  0.3333  0.6667  0.5000 (multiplicity 1)
Rh  0.6667  0.3333  0.5000 (multiplicity 1)
O  0.0115  0.3818  0.6959 (multiplicity 6)

Results
Calculated volume   120.6 Å³ per cell
Total DFT energy (no corrections)   -5.604 eV per atom
Magnetic moment   2.8 μB/f.u.
DOS at the Fermi energy   2.86 states/eV per cell


Entry 16:
TaNiRhO2 after structural relaxation, computed with GGA+U.

Unit cell a=3.661 b=3.661 c=4.959 alpha=90.00 beta=90.00 gamma=90.00
Space group P4/mmm (No. 123)
Asymmetric unit:
Ta  0.000  0.000  0.000 (multiplicity 1)
Ni  0.000  0.000  0.500 (multiplicity 1)
Rh  0.500  0.500  0.000 (multiplicity 1)
O  0.000  0.500  0.500 (multiplicity 2)

Results
Calculated volume   66.5 Å³ per cell
Total DFT energy (no corrections)   -5.894 eV per atom
Magnetic moment   0.2 μB/f.u.
DOS at the Fermi energy   3.07 states/eV per cell


Entry 17:
TcNi2RhO6 after structural relaxation, computed with GGA+U.

Unit cell a=5.759 b=5.759 c=3.924 alpha=90.00 beta=90.00 gamma=90.00
Space group P4mm (No. 99)
Asymmetric unit:
Tc  0.000  0.000  0.000 (multiplicity 1)
Ni  0.000  0.500  0.198 (multiplicity 2)
Rh  0.500  0.500  0.041 (multiplicity 1)
O  0.000  0.000  0.554 (multiplicity 1)
O  0.238  0.238  0.110 (multiplicity 4)
O  0.500  0.500  0.550 (multiplicity 1)

Results
Calculated volume   130.1 Å³ per cell
Total DFT energy (no corrections)   -5.883 eV per atom
Magnetic moment   6.5 μB/f.u.
DOS at the Fermi energy   6.04 states/eV per cell


Entry 18:
NiTeRh2O6 after structural relaxation, computed with GGA+U.

Unit cell a=5.4255 b=5.4255 c=13.7386 alpha=90.00 beta=90.00 gamma=120.00
Space group R3 (No. 146, hexagonal axes)
Asymmetric unit:
Ni  0.0000  0.0000  0.0000 (multiplicity 3)
Te  0.0000  0.0000  0.5046 (multiplicity 3)
Rh  0.0000  0.0000  0.2940 (multiplicity 3)
Rh  0.0000  0.0000  0.7957 (multiplicity 3)
O  0.0088  0.7151  0.3952 (multiplicity 9)
O  0.0289  0.3016  0.8929 (multiplicity 9)

Results
Calculated volume   350.3 Å³ per cell
Total DFT energy (no corrections)   -5.781 eV per atom
Magnetic moment   2.0 μB/f.u.


Entry 19:
Ni2TeRhO6 after structural relaxation, computed with GGA+U.

Unit cell a=5.2631 b=5.2631 c=14.0928 alpha=90.00 beta=90.00 gamma=120.00
Space group R3 (No. 146, hexagonal axes)
Asymmetric unit:
Ni  0.0000  0.0000  0.0000 (multiplicity 3)
Ni  0.0000  0.0000  0.4978 (multiplicity 3)
Te  0.0000  0.0000  0.2027 (multiplicity 3)
Rh  0.0000  0.0000  0.6986 (multiplicity 3)
O  0.0057  0.3005  0.6028 (multiplicity 9)
O  0.0338  0.6718  0.7695 (multiplicity 9)

Results
Calculated volume   338.1 Å³ per cell
Total DFT energy (no corrections)   -5.431 eV per atom
Magnetic moment   3.3 μB/f.u.
DOS at the Fermi energy   9.81 states/eV per cell


Entry 20:
NiTeRhO6 after structural relaxation, computed with GGA+U.

Unit cell a=4.637 b=4.637 c=9.314 alpha=90.00 beta=90.00 gamma=90.00
Space group P4_2nm (No. 102)
Asymmetric unit:
Ni  0.000  0.000  0.000 (multiplicity 2)
Te  0.000  0.000  0.667 (multiplicity 2)
Rh  0.000  0.000  0.333 (multiplicity 2)
O  0.190  0.190  0.502 (multiplicity 4)
O  0.195  0.195  0.830 (multiplicity 4)
O  0.199  0.199  0.167 (multiplicity 4)

Results
Calculated volume   200.2 Å³ per cell
Total DFT energy (no corrections)   -5.661 eV per atom
Magnetic moment   3.0 μB/f.u.
DOS at the Fermi energy   5.73 states/eV per cell